1.
Compound: Sm6SnTe3P2
Source: Alexandria via LeMat-Bulk
Functional: PBE
Structure: optimized geometry

Unit cell a=4.2883 b=8.8127 c=9.7771 alpha=104.38 beta=102.67 gamma=90.00
Closest atoms and distances in Å follow each position.
Fractional positions:
1 Sm 0.3328 0.8877 0.6656  2 P 2.92, 1 Sn 3.09, 3 Te 3.14-3.26
2 Sm 0.6759 0.5645 0.3517  3 P 2.86-2.91
3 Sm 0.6672 0.1123 0.3344  2 P 2.92, 1 Sn 3.09, 3 Te 3.14-3.26
4 Sm 0.0114 0.2513 0.0228  1 P 2.91, 2 Sn 3.05, 3 Te 3.11-3.23
5 Sm 0.9886 0.7487 0.9772  1 P 2.91, 2 Sn 3.05, 3 Te 3.11-3.23
6 Sm 0.3241 0.4355 0.6483  3 P 2.86-2.91
7 Sn 0.5000 0.0000 0.0000  6 Sm 3.05-3.09
8 Te 0.5000 0.5000 0.0000  6 Sm 3.11-3.26
9 Te 0.8363 0.1679 0.6725  6 Sm 3.14-3.26
10 Te 0.1637 0.8321 0.3275  6 Sm 3.14-3.26
11 P 0.8310 0.6624 0.6619  6 Sm 2.86-2.92
12 P 0.1690 0.3376 0.3381  6 Sm 2.86-2.92

Results
space group: No. 12
final energy: -69.35 eV/cell
volume: 349 Å³/cell
DOS(E_F): 0.41 states/eV per atom



2.
Compound: Ac2Ge3Pd
Source: Alexandria via LeMat-Bulk
Functional: PBE
Structure: optimized geometry

Unit cell a=6.3237 b=6.3237 c=8.8544 alpha=111.68 beta=111.68 gamma=88.02
Closest atoms and distances in Å follow each position.
Fractional positions:
1 Ac 0.2500 0.7500 0.5000  8 Ge 3.40, 4 Pd 3.41
2 Ac 0.7519 0.7519 0.0000  10 Ge 3.41, 2 Pd 3.41
3 Ac 0.7500 0.2500 0.5000  8 Ge 3.40, 4 Pd 3.41
4 Ac 0.2481 0.2481 0.0000  10 Ge 3.41, 2 Pd 3.41
5 Ge 0.6641 0.1678 0.8319  1 Pd 2.51, 2 Ge 2.55-2.56
6 Ge 0.8322 0.3359 0.1681  1 Pd 2.51, 2 Ge 2.55-2.56
7 Ge 0.3359 0.8322 0.1681  1 Pd 2.51, 2 Ge 2.55-2.56
8 Ge 0.1678 0.6641 0.8319  1 Pd 2.51, 2 Ge 2.55-2.56
9 Ge 0.8318 0.8318 0.6636  1 Pd 2.51, 2 Ge 2.56
10 Ge 0.1682 0.1682 0.3364  1 Pd 2.51, 2 Ge 2.56
11 Pd 0.3336 0.3336 0.6673  3 Ge 2.51
12 Pd 0.6664 0.6664 0.3327  3 Ge 2.51

Results
space group: No. 69
E above lowest polymorph: 0.0 kJ/mol of atoms
volume: 304 Å³/cell
calculated formation energy: -81.1 kJ/mol of atoms
DOS(E_F): 0.66 states/eV per atom



3.
Compound: TbTmCdOs
Source: Alexandria via LeMat-Bulk
Functional: PBE
Structure: optimized geometry

Unit cell a=4.9923 b=4.9923 c=4.9923 alpha=60.00 beta=60.00 gamma=60.00
Closest atoms and distances in Å follow each position.
Fractional positions:
1 Tb 0.0000 0.0000 0.0000  4 Os 3.06, 4 Cd 3.06
2 Tm 0.5000 0.5000 0.5000  4 Cd 3.06, 4 Os 3.06
3 Os 0.2500 0.2500 0.2500  4 Tb 3.06, 4 Tm 3.06
4 Cd 0.7500 0.7500 0.7500  4 Tb 3.06, 4 Tm 3.06

Results
space group: No. 216
E above lowest polymorph: 9.7 kJ/mol of atoms
volume: 88 Å³/cell
calculated formation energy: -21.8 kJ/mol of atoms
DOS(E_F): 0.79 states/eV per atom



4.
Compound: Pm3BeS6
Source: Alexandria via LeMat-Bulk
Functional: PBE
Structure: optimized geometry

Unit cell a=6.0384 b=8.9449 c=8.9449 alpha=102.10 beta=90.00 gamma=90.00
Closest atoms and distances in Å follow each position.
Fractional positions:
1 Pm 0.4791 0.9358 0.7169  6 S 2.78-2.90
2 Pm 0.9791 0.7169 0.9358  6 S 2.78-2.90
3 Pm 0.4036 0.3760 0.6240  7 S 2.79-2.97
4 Pm 0.9036 0.6240 0.3760  7 S 2.79-2.97
5 Pm 0.9791 0.0642 0.2831  6 S 2.78-2.90
6 Pm 0.4791 0.2831 0.0642  6 S 2.78-2.90
7 Be 0.0364 0.1949 0.8051  4 S 2.10-2.14
8 Be 0.5364 0.8051 0.1949  4 S 2.10-2.14
9 S 0.1995 0.6715 0.6470  4 Pm 2.86-2.97, 2 S 3.04
10 S 0.6995 0.6470 0.6715  4 Pm 2.86-2.97, 2 S 3.04
11 S 0.1706 0.4143 0.8982  1 Be 2.13
12 S 0.6706 0.8982 0.4143  1 Be 2.13
13 S 0.1542 0.0500 0.9500  1 Be 2.14
14 S 0.6927 0.2170 0.7830  1 Be 2.10
15 S 0.1927 0.7830 0.2170  1 Be 2.10
16 S 0.6542 0.9500 0.0500  1 Be 2.14
17 S 0.1706 0.1018 0.5857  1 Be 2.13
18 S 0.6706 0.5857 0.1018  1 Be 2.13
19 S 0.1995 0.3530 0.3285  4 Pm 2.86-2.97, 2 S 3.04
20 S 0.6995 0.3285 0.3530  4 Pm 2.86-2.97, 2 S 3.04

Results
space group: No. 36
final energy: -118.76 eV/cell
volume: 472 Å³/cell
DOS(E_F): 0.18 states/eV per atom



5.
Compound: LiTaPbO4
Source: Alexandria via LeMat-Bulk
Functional: PBE
Structure: optimized geometry

Unit cell a=6.2184 b=6.0898 c=7.0353 alpha=90.00 beta=112.60 gamma=90.00
Closest atoms and distances in Å follow each position.
Fractional positions:
1 Li 0.8254 0.7500 0.6052  3 O 1.89-2.03
2 Li 0.1746 0.2500 0.3948  3 O 1.89-2.03
3 Ta 0.2923 0.7500 0.3220  4 O 1.86-1.88
4 Ta 0.7077 0.2500 0.6780  4 O 1.86-1.88
5 Pb 0.7324 0.7500 0.9905  4 O 2.37-2.64
6 Pb 0.2676 0.2500 0.0095  4 O 2.37-2.64
7 O 0.9209 0.4843 0.7526  1 Ta 1.88, 1 Li 1.89
8 O 0.0791 0.9843 0.2474  1 Ta 1.88, 1 Li 1.89
9 O 0.0791 0.5157 0.2474  1 Ta 1.88, 1 Li 1.89
10 O 0.9209 0.0157 0.7526  1 Ta 1.88, 1 Li 1.89
11 O 0.4611 0.7500 0.1518  1 Ta 1.87
12 O 0.5389 0.2500 0.8482  1 Ta 1.87
13 O 0.4962 0.7500 0.5976  1 Ta 1.86, 1 Li 2.03
14 O 0.5038 0.2500 0.4024  1 Ta 1.86, 1 Li 2.03

Results
space group: No. 11
final energy: -104.04 eV/cell
volume: 246 Å³/cell
DOS(E_F): 0.00 states/eV per atom



6.
Compound: TlPbCl2
Source: Alexandria via LeMat-Bulk
Functional: PBE
Structure: optimized geometry

Unit cell a=4.8357 b=4.8357 c=7.4308 alpha=81.97 beta=81.97 gamma=44.21
Closest atoms and distances in Å follow each position.
Fractional positions:
1 Pb 0.7500 0.7500 0.7500  6 Cl 2.97-3.26
2 Tl 0.2500 0.2500 0.2500  6 Cl 3.23-3.27
3 Cl 0.9887 0.9887 0.9867  3 Pb 2.97-3.26, 3 Tl 3.23-3.27
4 Cl 0.5113 0.5113 0.5133  3 Pb 2.97-3.26, 3 Tl 3.23-3.27

Results
space group: No. 12
E above lowest polymorph: 4.7 kJ/mol of atoms
volume: 120 Å³/cell
DOS(E_F): 0.14 states/eV per atom